# KBaSb2Au2, relaxed, DFT PBE-GGA
# uncorrected formation energy	-4.035	eV per formula unit
data_KBaSb2Au2
_chemical_formula_sum 'K1 Ba1 Sb2 Au2'
_cell_length_a 4.7183
_cell_length_b 4.7183
_cell_length_c 10.1890
_cell_angle_alpha 90.00
_cell_angle_beta 90.00
_cell_angle_gamma 120.00
_symmetry_space_group_name_H-M 'P -3 m 1'
_symmetry_Int_Tables_number 164
_symmetry_space_group_name_Hall '-P 3 2"'
loop_
_atom_site_label
_atom_site_type_symbol
_atom_site_fract_x
_atom_site_fract_y
_atom_site_fract_z
K1 K 0.0000 0.0000 0.0000
Ba1 Ba 0.0000 0.0000 0.5000
Sb1 Sb 0.3333 0.6667 0.7444
Au1 Au 0.3333 0.6667 0.2613

---

# TaBe2SnPt, relaxed, DFT PBE-GGA
# total energy	-4.40	eV/atom
data_TaBe2SnPt
_chemical_formula_sum 'Ta1 Be2 Sn1 Pt1'
_cell_length_a 4.448
_cell_length_b 4.448
_cell_length_c 5.191
_cell_angle_alpha 90.00
_cell_angle_beta 90.00
_cell_angle_gamma 90.00
_symmetry_space_group_name_H-M 'P 4/m m m'
_symmetry_Int_Tables_number 123
_symmetry_space_group_name_Hall '-P 4 2'
loop_
_atom_site_label
_atom_site_type_symbol
_atom_site_fract_x
_atom_site_fract_y
_atom_site_fract_z
Ta1 Ta 0.000 0.000 0.000
Be1 Be 0.000 0.500 0.000
Sn1 Sn 0.000 0.000 0.500
Pt1 Pt 0.500 0.500 0.500

---

# Y2Ni2Ag3, relaxed, DFT PBE-GGA
# total energy	-5.03	eV/atom
data_Y2Ni2Ag3
_chemical_formula_sum 'Y4 Ni4 Ag6'
_cell_length_a 3.860
_cell_length_b 19.512
_cell_length_c 3.605
_cell_angle_alpha 90.00
_cell_angle_beta 90.00
_cell_angle_gamma 90.00
_symmetry_space_group_name_H-M 'C m m m'
_symmetry_Int_Tables_number 65
_symmetry_space_group_name_Hall '-C 2 2'
loop_
_atom_site_label
_atom_site_type_symbol
_atom_site_fract_x
_atom_site_fract_y
_atom_site_fract_z
Y1 Y 0.000 0.164 0.000
Ni1 Ni 0.000 0.286 0.500
Ag1 Ag 0.000 0.000 0.000
Ag2 Ag 0.000 0.428 0.500

---

# CsTlPb, relaxed, DFT PBE-GGA
# total energy	-2.46	eV/atom
data_CsTlPb
_chemical_formula_sum 'Cs2 Tl2 Pb2'
_cell_length_a 5.141
_cell_length_b 7.906
_cell_length_c 7.943
_cell_angle_alpha 110.26
_cell_angle_beta 105.63
_cell_angle_gamma 98.61
_symmetry_space_group_name_H-M 'P 1'
_symmetry_Int_Tables_number 1
loop_
_symmetry_equiv_pos_as_xyz
'x,y,z'
loop_
_atom_site_label
_atom_site_type_symbol
_atom_site_fract_x
_atom_site_fract_y
_atom_site_fract_z
Cs1 Cs 0.000 0.000 0.000
Cs2 Cs 0.441 0.351 0.654
Tl1 Tl 0.253 0.781 0.552
Tl2 Tl 0.715 0.892 0.394
Pb1 Pb 0.189 0.566 0.097
Pb2 Pb 0.733 0.443 0.271

---

# Rb6Y3Br14, relaxed, DFT PBE-GGA
# uncorrected formation energy	-39.826	eV per formula unit
data_Rb6Y3Br14
_chemical_formula_sum 'Rb6 Y3 Br14'
_cell_length_a 12.2624
_cell_length_b 12.2624
_cell_length_c 7.4930
_cell_angle_alpha 90.00
_cell_angle_beta 90.00
_cell_angle_gamma 120.00
_symmetry_space_group_name_H-M 'P 3'
_symmetry_Int_Tables_number 143
loop_
_symmetry_equiv_pos_as_xyz
'x,y,z'
'-y,x-y,z'
'-x+y,-x,z'
loop_
_atom_site_label
_atom_site_type_symbol
_atom_site_fract_x
_atom_site_fract_y
_atom_site_fract_z
Rb1 Rb 0.0248 0.4681 0.0000
Rb2 Rb 0.2926 0.1996 0.4717
Y1 Y 0.0000 0.0000 0.0369
Y2 Y 0.3333 0.6667 0.5659
Y3 Y 0.6667 0.3333 0.6644
Br1 Br 0.0000 0.0000 0.6722
Br2 Br 0.0781 0.2292 0.1903
Br3 Br 0.1907 0.7542 0.7139
Br4 Br 0.3333 0.6667 0.2016
Br5 Br 0.4489 0.2504 0.8802
Br6 Br 0.5279 0.1138 0.4535

---

# TiH3O, relaxed, DFT PBE-GGA
# E above lowest polymorph	0	meV per atom
data_TiH3O
_chemical_formula_sum 'Ti1 H3 O1'
_cell_length_a 3.447
_cell_length_b 3.447
_cell_length_c 3.447
_cell_angle_alpha 90.00
_cell_angle_beta 90.00
_cell_angle_gamma 90.00
_symmetry_space_group_name_H-M 'P m -3 m'
_symmetry_Int_Tables_number 221
_symmetry_space_group_name_Hall '-P 4 2 3'
loop_
_atom_site_label
_atom_site_type_symbol
_atom_site_fract_x
_atom_site_fract_y
_atom_site_fract_z
Ti1 Ti 0.000 0.000 0.000
H1 H 0.000 0.000 0.500
O1 O 0.500 0.500 0.500

---

# Be3SbI, relaxed, DFT PBE-GGA
# E above lowest polymorph	0	meV per atom
# uncorrected formation energy	4.817	eV per formula unit
data_Be3SbI
_chemical_formula_sum 'Be3 Sb1 I1'
_cell_length_a 4.907
_cell_length_b 4.907
_cell_length_c 4.907
_cell_angle_alpha 90.00
_cell_angle_beta 90.00
_cell_angle_gamma 90.00
_symmetry_space_group_name_H-M 'P m -3 m'
_symmetry_Int_Tables_number 221
_symmetry_space_group_name_Hall '-P 4 2 3'
loop_
_atom_site_label
_atom_site_type_symbol
_atom_site_fract_x
_atom_site_fract_y
_atom_site_fract_z
Be1 Be 0.000 0.000 0.500
Sb1 Sb 0.000 0.000 0.000
I1 I 0.500 0.500 0.500

---

# Na3Sn4Pb, relaxed, DFT PBE-GGA
# total energy	-3.08	eV/atom
data_Na3Sn4Pb
_chemical_formula_sum 'Na6 Sn8 Pb2'
_cell_length_a 3.196
_cell_length_b 6.486
_cell_length_c 21.504
_cell_angle_alpha 90.00
_cell_angle_beta 90.00
_cell_angle_gamma 90.00
_symmetry_space_group_name_H-M 'I m m m'
_symmetry_Int_Tables_number 71
_symmetry_space_group_name_Hall '-I 2 2'
loop_
_atom_site_label
_atom_site_type_symbol
_atom_site_fract_x
_atom_site_fract_y
_atom_site_fract_z
Na1 Na 0.000 0.000 0.000
Na2 Na 0.000 0.500 0.237
Sn1 Sn 0.000 0.263 0.373
Pb1 Pb 0.000 0.000 0.500

---

# KRbSr2, relaxed, DFT PBE-GGA
# E above lowest polymorph	115	meV per atom
data_KRbSr2
_chemical_formula_sum 'K4 Rb4 Sr8'
_cell_length_a 10.153
_cell_length_b 10.153
_cell_length_c 10.153
_cell_angle_alpha 90.00
_cell_angle_beta 90.00
_cell_angle_gamma 90.00
_symmetry_space_group_name_H-M 'F m -3 m'
_symmetry_Int_Tables_number 225
_symmetry_space_group_name_Hall '-F 4 2 3'
loop_
_atom_site_label
_atom_site_type_symbol
_atom_site_fract_x
_atom_site_fract_y
_atom_site_fract_z
K1 K 0.000 0.000 0.000
Rb1 Rb 0.000 0.000 0.500
Sr1 Sr 0.250 0.250 0.250

---

# Ac8Pt3Br4Cl, relaxed, DFT PBE-GGA
# uncorrected formation energy	-20.788	eV per formula unit
data_Ac8Pt3Br4Cl
_chemical_formula_sum 'Ac24 Pt9 Br12 Cl3'
_cell_length_a 8.9283
_cell_length_b 8.9283
_cell_length_c 24.3228
_cell_angle_alpha 90.00
_cell_angle_beta 90.00
_cell_angle_gamma 120.00
_symmetry_space_group_name_H-M 'R -3 m'
_symmetry_Int_Tables_number 166
_symmetry_space_group_name_Hall '-R 3 2"'
loop_
_atom_site_label
_atom_site_type_symbol
_atom_site_fract_x
_atom_site_fract_y
_atom_site_fract_z
Ac1 Ac 0.0000 0.0000 0.2314
Ac2 Ac 0.0167 0.5084 0.7640
Pt1 Pt 0.0000 0.5000 0.5000
Br1 Br 0.0000 0.0000 0.0000
Br2 Br 0.0000 0.5000 0.0000
Cl1 Cl 0.0000 0.0000 0.5000

---

# TbCe2ThP4, relaxed, DFT PBE-GGA
# total energy	-7.25	eV/atom
data_TbCe2ThP4
_chemical_formula_sum 'Tb1 Ce2 Th1 P4'
_cell_length_a 7.079
_cell_length_b 4.096
_cell_length_c 7.097
_cell_angle_alpha 90.00
_cell_angle_beta 109.47
_cell_angle_gamma 90.00
_symmetry_space_group_name_H-M 'P 1 2/m 1'
_symmetry_Int_Tables_number 10
loop_
_symmetry_equiv_pos_as_xyz
'x,y,z'
'-x,-y,-z'
'-x,y,-z'
'x,-y,z'
loop_
_atom_site_label
_atom_site_type_symbol
_atom_site_fract_x
_atom_site_fract_y
_atom_site_fract_z
Tb1 Tb 0.000 0.000 0.000
Ce1 Ce 0.000 0.500 0.500
Ce2 Ce 0.500 0.000 0.500
Th1 Th 0.500 0.500 0.000
P1 P 0.246 0.000 0.749
P2 P 0.247 0.500 0.249

---

# TbZn3Pt3, relaxed, DFT PBE-GGA
# total energy	-3.86	eV/atom
data_TbZn3Pt3
_chemical_formula_sum 'Tb2 Zn6 Pt6'
_cell_length_a 6.799
_cell_length_b 6.799
_cell_length_c 6.799
_cell_angle_alpha 90.00
_cell_angle_beta 90.00
_cell_angle_gamma 90.00
_symmetry_space_group_name_H-M 'P m -3 n'
_symmetry_Int_Tables_number 223
_symmetry_space_group_name_Hall '-P 4n 2 3'
loop_
_atom_site_label
_atom_site_type_symbol
_atom_site_fract_x
_atom_site_fract_y
_atom_site_fract_z
Tb1 Tb 0.000 0.000 0.000
Zn1 Zn 0.000 0.250 0.500
Pt1 Pt 0.000 0.500 0.250

---

no.,spin magnetization (μB/f.u.)
1,0.0
2,0.0
3,0.0
4,0.0
5,1.1
6,0.9
7,0.0
8,0.0
9,0.0
10,0.0
11,1.1
12,0.0